1.
Density functional theory data (PBE-GGA) for crystalline RbHf2SiC at its relaxed geometry.

## Properties
Total DFT energy (no corrections) ... -5.1180 eV/atom
Magnetic moment ... 0.000 μB per atom
Crystal system ... tetragonal
Formation energy without anion corrections ... 1.99 eV/atom

Cell lengths 4.9757, 4.9757, 5.9115 Å; angles 90.00, 90.00, 90.00 degrees
Space group P4/mmm (No. 123)
One atom of each set of equivalent atoms:
Rb 0.0000 0.0000 0.0000 [1 per cell]
Hf 0.0000 0.5000 0.5000 [2 per cell]
Si 0.0000 0.0000 0.5000 [1 per cell]
C 0.5000 0.5000 0.0000 [1 per cell]

=====

2.
Density functional theory data (PBE-GGA) for crystalline K2ThGaTe5 at its relaxed geometry.

## Properties
Total DFT energy (no corrections) ... -3.9843 eV/atom
Magnetic moment ... 0.000 μB per atom
Crystal system ... orthorhombic
Formation energy without anion corrections ... -0.83 eV/atom

Cell lengths 4.2424, 21.9145, 15.5156 Å; angles 90.00, 90.00, 90.00 degrees
Space group Cmc2_1 (No. 36)
One atom of each set of equivalent atoms:
K 0.0000 0.1206 0.0000 [4 per cell]
K 0.0000 0.1335 0.3628 [4 per cell]
Th 0.0000 0.2026 0.6993 [4 per cell]
Ga 0.0000 0.4307 0.0909 [4 per cell]
Te 0.0000 0.0517 0.6955 [4 per cell]
Te 0.0000 0.3056 0.3414 [4 per cell]
Te 0.0000 0.3100 0.0473 [4 per cell]
Te 0.0000 0.3423 0.6795 [4 per cell]
Te 0.0000 0.4905 0.9464 [4 per cell]

=====

3.
Density functional theory data (PBE-GGA) for crystalline ScBe3In at its relaxed geometry.

## Properties
Total DFT energy (no corrections) ... -2.4877 eV/atom
Distance to the lowest polymorph of the same formula ... 678 meV per atom
Magnetic moment ... 0.084 μB per atom
Crystal system ... cubic
Calculated formation energy ... 1.5621 eV per atom

Cell lengths 4.7656, 4.7656, 4.7656 Å; angles 90.00, 90.00, 90.00 degrees
Space group Pm-3m (No. 221)
One atom of each set of equivalent atoms:
Sc 0.0000 0.0000 0.0000 [1 per cell]
Be 0.0000 0.0000 0.5000 [3 per cell]
In 0.5000 0.5000 0.5000 [1 per cell]